a) Entry from Alexandria: a relaxed LaTaSe2N crystal (PBE).

Cell: 5.700 5.700 4.011 Å, 90.00 90.00 90.00°
Site moments in Bohr magnetons follow the coordinates.
Atoms (fractional coordinates):
N: 0.000 0.000 0.500  -0.18
La: 0.000 0.000 0.000  -0.11
Se: 0.000 0.500 0.000  -0.18
Se: 0.500 0.000 0.000  -0.18
Ta: 0.500 0.500 0.500  1.78



b) Entry from Alexandria: a relaxed LaTaSe2N crystal (PBE).

Cell: 5.176 5.176 3.977 Å, 90.00 90.00 90.00°
Atoms (fractional coordinates):
N: 0.000 0.000 0.500
La: 0.500 0.500 0.500
Se: 0.000 0.500 0.000
Se: 0.500 0.000 0.000
Ta: 0.000 0.000 0.000



Most stable one: b), least stable one: a).



a) Entry from Alexandria: a relaxed LaTcSeN2 crystal (PBE).

Cell: 4.035 4.035 5.113 Å, 90.00 90.00 90.00°
Atoms (fractional coordinates):
N: 0.000 0.500 0.000
N: 0.500 0.000 0.000
Tc: 0.000 0.000 0.000
Se: 0.000 0.000 0.500
La: 0.500 0.500 0.500



b) Entry from Alexandria: a relaxed LaTcSeN2 crystal (PBE).

Cell: 4.185 4.185 6.317 Å, 90.00 90.00 90.00°
Site moments in Bohr magnetons follow the coordinates.
Atoms (fractional coordinates):
N: 0.000 0.500 0.000  0.05
N: 0.500 0.000 0.000  0.05
Tc: 0.500 0.500 0.500  3.73
Se: 0.000 0.000 0.500  0.05
La: 0.000 0.000 0.000  0.00



Most stable one: a), least stable one: b).



a) Entry from Alexandria: a relaxed LaTiSe2N crystal (PBE).

Cell: 5.118 5.118 3.882 Å, 90.00 90.00 90.00°
Atoms (fractional coordinates):
N: 0.000 0.000 0.500
Ti: 0.000 0.000 0.000
Se: 0.000 0.500 0.000
Se: 0.500 0.000 0.000
La: 0.500 0.500 0.500



b) Entry from Alexandria: a relaxed LaTiSe2N crystal (PBE).

Cell: 5.734 5.734 4.180 Å, 90.00 90.00 90.00°
Site moments in Bohr magnetons follow the coordinates.
Atoms (fractional coordinates):
N: 0.000 0.000 0.500  -0.28
Ti: 0.500 0.500 0.500  1.67
Se: 0.000 0.500 0.000  -0.24
Se: 0.500 0.000 0.000  -0.24
La: 0.000 0.000 0.000  -0.05



Most stable one: a), least stable one: b).



a) Entry from Alexandria: a relaxed LaTlSe2N crystal (PBE).

Cell: 5.462 5.462 4.272 Å, 90.00 90.00 90.00°
Site moments in Bohr magnetons follow the coordinates.
Atoms (fractional coordinates):
Tl: 0.000 0.000 0.000  -0.01
N: 0.000 0.000 0.500  0.68
Se: 0.000 0.500 0.000  0.08
Se: 0.500 0.000 0.000  0.08
La: 0.500 0.500 0.500  -0.05



b) Entry from Alexandria: a relaxed LaTlSe2N crystal (PBE).

Cell: 6.051 6.051 4.323 Å, 90.00 90.00 90.00°
Site moments in Bohr magnetons follow the coordinates.
Atoms (fractional coordinates):
Tl: 0.500 0.500 0.500  0.02
N: 0.000 0.000 0.500  0.35
Se: 0.000 0.500 0.000  0.49
Se: 0.500 0.000 0.000  0.49
La: 0.000 0.000 0.000  0.01



Most stable one: b), least stable one: a).